# GdBiPt2

An optimized crystal structure of GdBiPt2 (GGA-PBE, the Alexandria database).

a = 4.7908 Å, b = 4.7908 Å, c = 3.7581 Å
α = 90.00°, β = 90.00°, γ = 90.00°
Last column: nearest neighbours and their distance in Å.
Space group P4/mmm (No. 123)
Unique sites:
Gd 0.0000 0.0000 0.0000  8 Pt 3.04, 4 Bi 3.39
Bi 0.5000 0.5000 0.0000  8 Pt 3.04, 4 Gd 3.39
Pt 0.0000 0.5000 0.5000  4 Gd 3.04, 4 Bi 3.04, 4 Pt 3.39

Calculated values
Calculated formation energy ... -0.6978 eV/atom
V ... 86.3 Å³/cell
Calculated density ... 14.56 g cm⁻³
Total moment ... 7.08 μB/f.u.